Ba2Hg, relaxed, DFT PBE; ρ = 5.7 Mg/m³; raw total energy = -1.715 eV per atom; size of the total moment = 0.0 Bohr magnetons per cell
1.0
8.390 0.000 0.000
0.000 8.390 0.000
0.000 0.000 7.903
Ba Hg
8 4
Direct
0.188 0.312 0.000
0.188 0.688 0.500
0.312 0.188 0.500
0.312 0.812 0.000
0.688 0.188 0.000
0.688 0.812 0.500
0.812 0.312 0.500
0.812 0.688 0.000
0.000 0.000 0.250
0.000 0.000 0.750
0.500 0.500 0.250
0.500 0.500 0.750

BaHg12, relaxed, DFT PBE; ρ = 8.4 Mg/m³; raw total energy = -0.360 eV per atom; size of the total moment = 0.0 Bohr magnetons per cell
1.0
0.000 6.323 6.323
6.323 0.000 6.323
6.323 6.323 0.000
Ba Hg
1 12
Direct
0.000 0.000 0.000
0.159 0.500 0.500
0.159 0.500 0.841
0.159 0.841 0.500
0.500 0.159 0.500
0.500 0.159 0.841
0.500 0.500 0.159
0.500 0.500 0.841
0.500 0.841 0.159
0.500 0.841 0.500
0.841 0.159 0.500
0.841 0.500 0.159
0.841 0.500 0.500

BaHg3, relaxed, DFT PBE; ρ = 9.8 Mg/m³; raw total energy = -1.110 eV per atom; size of the total moment = 0.0 Bohr magnetons per cell
1.0
4.920 0.000 0.000
0.000 5.430 0.000
0.000 0.000 9.377
Ba Hg
2 6
Direct
0.000 0.000 0.000
0.500 0.500 0.500
0.000 0.000 0.500
0.000 0.500 0.236
0.000 0.500 0.764
0.500 0.000 0.264
0.500 0.000 0.736
0.500 0.500 0.000

BaHg2, relaxed, DFT PBE; ρ = 8.7 Mg/m³; raw total energy = -1.280 eV per atom; size of the total moment = 0.0 Bohr magnetons per cell
1.0
14.540 0.000 0.000
0.000 4.639 0.000
-3.242 0.000 6.091
Ba Hg
4 8
Direct
0.169 0.000 0.169
0.331 0.500 0.831
0.669 0.500 0.169
0.831 0.000 0.831
0.001 0.500 0.737
0.125 0.000 0.626
0.375 0.500 0.374
0.499 0.000 0.263
0.501 0.000 0.737
0.625 0.500 0.626
0.875 0.000 0.374
0.999 0.500 0.263

Which of these has the highest ρ?
BaHg3

Which of these has the highest raw total energy?
BaHg12